The following is a DFT calculation (PBE-GGA) of a relaxed CoPb2Br crystal.

a = 8.2139 Å, b = 7.9522 Å, c = 3.3173 Å
α = 90.00°, β = 109.25°, γ = 90.00°
Space group C2/m (No. 12)
Unique sites:
Co1 0.0000 0.0000 0.0000 x2
Pb1 0.2500 0.2500 0.5000 x4
Br1 0.0000 0.5000 0.0000 x2

Properties
As for the polymorph energy (0 for the lowest one): 230 meV/atom. Its total magnetization is 1.6 μB per formula unit. As for the total energy: -29.77 eV per cell. The value obtained for the formation energy without anion corrections is 0.327 eV per atom. Its calculated volume is 204.6 Å³ per cell. As for the density: 8.982 g/cm3.